Below is a geometry-optimized YTl3Ga3I8 structure, with properties calculated at the GGA-PBE level.

The structure in CIF format:
```
data_YTl3Ga3I8
_cell_length_a 15.973
_cell_length_b 9.211
_cell_length_c 10.256
_cell_angle_alpha 90.00
_cell_angle_beta 121.43
_cell_angle_gamma 90.00
_symmetry_space_group_name_H-M 'C 1 2/m 1'
_symmetry_Int_Tables_number 12
loop_
_symmetry_equiv_pos_as_xyz
'x,y,z'
'-x,-y,-z'
'-x,y,-z'
'x,-y,z'
'x+1/2,y+1/2,z'
'-x+1/2,-y+1/2,-z'
'-x+1/2,y+1/2,-z'
'x+1/2,-y+1/2,z'
loop_
_atom_site_label
_atom_site_fract_x
_atom_site_fract_y
_atom_site_fract_z
Y1 0.000 0.000 0.000
Tl1 0.000 0.000 0.500
Tl2 0.250 0.250 0.500
Ga1 0.000 0.500 0.000
Ga2 0.250 0.250 0.000
I1 0.008 0.231 0.792
I2 0.224 0.000 0.208
I3 0.242 0.500 0.227
```

* ΔE_f (raw): -0.629 eV/atom
* volume: 1288 Å³/cell
* calculated density: 5.0 Mg/m³